i) Material: Mo2H2Ru
Method: DFT, GGA-PBE
State: relaxed

For the density of states at the Fermi level, the calculation gives 8.487 states/eV per cell.

The space group is I4/mmm (No. 139) and the conventional cell measures 3.425, 3.425 and 8.783 Å, with angles of 90.00, 90.00 and 90.00 degrees. Symmetry generates all atoms from Mo at (0.000, 0.000, 0.156), H at (0.000, 0.500, 0.250) and Ru at (0.000, 0.000, 0.500).


ii) Material: Mo2H2Ru
Method: DFT, GGA-PBE
State: relaxed

For the density of states at the Fermi level, the calculation gives 3.638 states/eV per cell.

The space group is P4/mbm (No. 127) and the conventional cell measures 6.044, 6.044 and 2.801 Å, with angles of 90.00, 90.00 and 90.00 degrees. Symmetry generates all atoms from Mo at (0.147, 0.353, 0.000), H at (0.157, 0.657, 0.500) and Ru at (0.000, 0.000, 0.500).


Bottom line: ii), by a margin of 2.9 kJ/mol of atoms.